(1)
DFT (meta-GGA SCAN) results for MnAuSCl2 at its PBEsol-relaxed geometry.

POSCAR file:
```
MnAuSCl2
1.0
4.819 0.000 0.000
0.000 4.819 0.000
0.000 0.000 4.912
Mn Au S Cl
1 1 1 2
Cartesian
0.000 0.000 0.000
2.410 2.410 2.456
2.410 2.410 0.000
0.000 2.410 2.456
2.410 0.000 2.456
```

Total DFT energy (no corrections), eV per atom: -22.5649
Space-group type: P4/mmm (123)
Formation energy (no corrections), eV/atom: 0.034
Volume, A^3/atom: 22.820

---

(2)
DFT (meta-GGA SCAN) results for RbCaO2 at its PBEsol-relaxed geometry.

POSCAR file:
```
RbCaO2
1.0
0.000 3.117 3.117
3.117 0.000 3.117
3.117 3.117 0.000
Rb Ca O
1 1 2
Cartesian
0.000 0.000 0.000
3.117 3.117 3.117
1.559 1.559 1.559
4.676 4.676 4.676
```

Total DFT energy (no corrections), eV per atom: -12.2104
Space-group type: Fm-3m (225)
Formation energy (no corrections), eV/atom: -1.494
Volume, A^3/atom: 15.143

---

(3)
DFT (meta-GGA SCAN) results for MgReMo at its PBEsol-relaxed geometry.

POSCAR file:
```
MgReMo
1.0
0.000 2.226 6.927
1.540 0.000 6.927
1.540 2.226 0.000
Mg Re Mo
1 1 1
Cartesian
0.000 0.000 0.000
1.540 2.226 4.564
1.540 2.226 9.363
```

Total DFT energy (no corrections), eV per atom: -36.7888
Space-group type: Fmm2 (42)
Volume, A^3/atom: 15.830